--- w ---
# Mn2PbCl meta-GGA SCAN single point on PBEsol structure
data_Mn2PbCl
_chemical_formula_sum 'Mn4 Pb2 Cl2'
_symmetry_space_group_name_H-M 'C 1 m 1'
_symmetry_Int_Tables_number 8
_cell_length_a 8.875
_cell_length_b 3.058
_cell_length_c 5.610
_cell_angle_alpha 90.00
_cell_angle_beta 98.26
_cell_angle_gamma 90.00
loop_
_symmetry_equiv_pos_as_xyz
'x,y,z'
'x,-y,z'
'x+1/2,y+1/2,z'
'x+1/2,-y+1/2,z'
loop_
_atom_site_label
_atom_site_fract_x
_atom_site_fract_y
_atom_site_fract_z
Mn1 0.000 0.000 0.000
Mn2 0.227 0.500 0.251
Pb1 0.244 0.000 0.760
Cl1 0.462 0.000 0.328
# N(E_F)   5.4 states/eV/cell

=====

--- x ---
# Mn2PbCl meta-GGA SCAN single point on PBEsol structure
data_Mn2PbCl
_chemical_formula_sum 'Mn4 Pb2 Cl2'
_symmetry_space_group_name_H-M 'C m m m'
_symmetry_Int_Tables_number 65
_symmetry_space_group_name_Hall '-C 2 2'
_cell_length_a 3.273
_cell_length_b 5.579
_cell_length_c 8.352
_cell_angle_alpha 90.00
_cell_angle_beta 90.00
_cell_angle_gamma 90.00
loop_
_atom_site_label
_atom_site_fract_x
_atom_site_fract_y
_atom_site_fract_z
Mn1 0.000 0.000 0.227
Pb1 0.000 0.500 0.500
Cl1 0.000 0.500 0.000
# N(E_F)   4.9 states/eV/cell

=====

Result of the stability comparison: x is the most stable of them.

=====

--- w ---
# MnPtCl2 meta-GGA SCAN single point on PBEsol structure
data_MnPtCl2
_chemical_formula_sum 'Mn2 Pt2 Cl4'
_symmetry_space_group_name_H-M 'I m m m'
_symmetry_Int_Tables_number 71
_symmetry_space_group_name_Hall '-I 2 2'
_cell_length_a 2.938
_cell_length_b 5.636
_cell_length_c 8.155
_cell_angle_alpha 90.00
_cell_angle_beta 90.00
_cell_angle_gamma 90.00
loop_
_atom_site_label
_atom_site_fract_x
_atom_site_fract_y
_atom_site_fract_z
Mn1 0.000 0.000 0.000
Pt1 0.000 0.000 0.500
Cl1 0.000 0.500 0.275
# N(E_F)   2.9 states/eV/cell

=====

--- x ---
# MnPtCl2 meta-GGA SCAN single point on PBEsol structure
data_MnPtCl2
_chemical_formula_sum 'Mn4 Pt4 Cl8'
_symmetry_space_group_name_H-M 'F -4 3 m'
_symmetry_Int_Tables_number 216
_symmetry_space_group_name_Hall 'F -4 2 3'
_cell_length_a 6.432
_cell_length_b 6.432
_cell_length_c 6.432
_cell_angle_alpha 90.00
_cell_angle_beta 90.00
_cell_angle_gamma 90.00
loop_
_atom_site_label
_atom_site_fract_x
_atom_site_fract_y
_atom_site_fract_z
Mn1 0.000 0.000 0.000
Pt1 0.250 0.250 0.250
Cl1 0.000 0.000 0.500
Cl2 0.250 0.250 0.750
# N(E_F)   6.3 states/eV/cell

=====

Result of the stability comparison: w is the most stable of them.

=====

--- w ---
The following is a meta-GGA SCAN calculation of a crystal of MnPtCl2 relaxed with PBEsol, from Alexandria.

Cell and atoms, written as CIF:
```
data_MnPtCl2
_chemical_formula_sum 'Mn1 Pt1 Cl2'
_symmetry_space_group_name_H-M 'P 1 m 1'
_symmetry_Int_Tables_number 6
_cell_length_a 3.612
_cell_length_b 3.552
_cell_length_c 6.444
_cell_angle_alpha 90.00
_cell_angle_beta 91.93
_cell_angle_gamma 90.00
loop_
_symmetry_equiv_pos_as_xyz
'x,y,z'
'x,-y,z'
loop_
_atom_site_label
_atom_site_fract_x
_atom_site_fract_y
_atom_site_fract_z
Mn1 0.000 0.000 0.000
Pt1 0.505 0.500 0.118
Cl1 0.255 0.500 0.775
Cl2 0.768 0.000 0.364
```

=====

--- x ---
# MnPtCl2 meta-GGA SCAN single point on PBEsol structure
data_MnPtCl2
_chemical_formula_sum 'Mn2 Pt2 Cl4'
_symmetry_space_group_name_H-M 'C m m 2'
_symmetry_Int_Tables_number 35
_cell_length_a 3.564
_cell_length_b 5.167
_cell_length_c 8.151
_cell_angle_alpha 90.00
_cell_angle_beta 90.00
_cell_angle_gamma 90.00
loop_
_symmetry_equiv_pos_as_xyz
'x,y,z'
'-x,-y,z'
'-x,y,z'
'x,-y,z'
'x+1/2,y+1/2,z'
'-x+1/2,-y+1/2,z'
'-x+1/2,y+1/2,z'
'x+1/2,-y+1/2,z'
loop_
_atom_site_label
_atom_site_fract_x
_atom_site_fract_y
_atom_site_fract_z
Mn1 0.000 0.000 0.000
Pt1 0.000 0.500 0.791
Cl1 0.000 0.000 0.580
Cl2 0.000 0.500 0.192
# N(E_F)   3.1 states/eV/cell

=====

Result of the stability comparison: w is the most stable of them.

=====

--- w ---
# MnPtCl meta-GGA SCAN single point on PBEsol structure
data_MnPtCl
_chemical_formula_sum 'Mn1 Pt1 Cl1'
_symmetry_space_group_name_H-M 'P 3 m 1'
_symmetry_Int_Tables_number 156
_cell_length_a 4.2451
_cell_length_b 4.2451
_cell_length_c 2.9608
_cell_angle_alpha 90.00
_cell_angle_beta 90.00
_cell_angle_gamma 120.00
loop_
_symmetry_equiv_pos_as_xyz
'x,y,z'
'-y,x-y,z'
'-x+y,-x,z'
'-y,-x,z'
'-x+y,y,z'
'x,x-y,z'
loop_
_atom_site_label
_atom_site_fract_x
_atom_site_fract_y
_atom_site_fract_z
Mn1 0.0000 0.0000 0.0000
Pt1 0.6667 0.3333 0.5136
Cl1 0.3333 0.6667 0.1384
# N(E_F)   0.9 states/eV/cell

=====

--- x ---
# MnPtCl meta-GGA SCAN single point on PBEsol structure
data_MnPtCl
_chemical_formula_sum 'Mn4 Pt4 Cl4'
_symmetry_space_group_name_H-M 'F m m 2'
_symmetry_Int_Tables_number 42
_symmetry_space_group_name_Hall 'F 2 -2'
_cell_length_a 3.506
_cell_length_b 4.761
_cell_length_c 12.051
_cell_angle_alpha 90.00
_cell_angle_beta 90.00
_cell_angle_gamma 90.00
loop_
_atom_site_label
_atom_site_fract_x
_atom_site_fract_y
_atom_site_fract_z
Mn1 0.000 0.000 0.000
Pt1 0.000 0.000 0.644
Cl1 0.000 0.000 0.362
# N(E_F)   5.2 states/eV/cell

=====

--- y ---
The following is a meta-GGA SCAN calculation of a crystal of MnPtCl relaxed with PBEsol, from Alexandria.

Cell and atoms, written as CIF:
```
data_MnPtCl
_chemical_formula_sum 'Mn4 Pt4 Cl4'
_symmetry_space_group_name_H-M 'F -4 3 m'
_symmetry_Int_Tables_number 216
_symmetry_space_group_name_Hall 'F -4 2 3'
_cell_length_a 5.719
_cell_length_b 5.719
_cell_length_c 5.719
_cell_angle_alpha 90.00
_cell_angle_beta 90.00
_cell_angle_gamma 90.00
loop_
_atom_site_label
_atom_site_fract_x
_atom_site_fract_y
_atom_site_fract_z
Mn1 0.000 0.000 0.000
Pt1 0.250 0.250 0.750
Cl1 0.250 0.250 0.250
```

=====

Result of the stability comparison: x is the most stable of them.

=====

--- w ---
# MnPt2Cl meta-GGA SCAN single point on PBEsol structure
data_MnPt2Cl
_chemical_formula_sum 'Mn2 Pt4 Cl2'
_symmetry_space_group_name_H-M 'I m m 2'
_symmetry_Int_Tables_number 44
_cell_length_a 2.844
_cell_length_b 4.711
_cell_length_c 9.121
_cell_angle_alpha 90.00
_cell_angle_beta 90.00
_cell_angle_gamma 90.00
loop_
_symmetry_equiv_pos_as_xyz
'x,y,z'
'-x,-y,z'
'-x,y,z'
'x,-y,z'
'x+1/2,y+1/2,z+1/2'
'-x+1/2,-y+1/2,z+1/2'
'-x+1/2,y+1/2,z+1/2'
'x+1/2,-y+1/2,z+1/2'
loop_
_atom_site_label
_atom_site_fract_x
_atom_site_fract_y
_atom_site_fract_z
Mn1 0.000 0.000 0.000
Pt1 0.000 0.000 0.505
Pt2 0.000 0.500 0.725
Cl1 0.000 0.500 0.302
# N(E_F)   4.8 states/eV/cell

=====

--- x ---
# MnPt2Cl meta-GGA SCAN single point on PBEsol structure
data_MnPt2Cl
_chemical_formula_sum 'Mn2 Pt4 Cl2'
_symmetry_space_group_name_H-M 'C m m m'
_symmetry_Int_Tables_number 65
_symmetry_space_group_name_Hall '-C 2 2'
_cell_length_a 5.479
_cell_length_b 7.938
_cell_length_c 2.832
_cell_angle_alpha 90.00
_cell_angle_beta 90.00
_cell_angle_gamma 90.00
loop_
_atom_site_label
_atom_site_fract_x
_atom_site_fract_y
_atom_site_fract_z
Mn1 0.000 0.000 0.000
Pt1 0.250 0.250 0.500
Cl1 0.000 0.500 0.000
# N(E_F)   5.2 states/eV/cell

=====

Result of the stability comparison: w is the most stable of them.

=====

--- w ---
# MnRe2Cl meta-GGA SCAN single point on PBEsol structure
data_MnRe2Cl
_chemical_formula_sum 'Mn1 Re2 Cl1'
_symmetry_space_group_name_H-M 'P 4 m m'
_symmetry_Int_Tables_number 99
_cell_length_a 2.925
_cell_length_b 2.925
_cell_length_c 7.180
_cell_angle_alpha 90.00
_cell_angle_beta 90.00
_cell_angle_gamma 90.00
loop_
_symmetry_equiv_pos_as_xyz
'x,y,z'
'-y,x,z'
'-x,-y,z'
'y,-x,z'
'-x,y,z'
'y,x,z'
'x,-y,z'
'-y,-x,z'
loop_
_atom_site_label
_atom_site_fract_x
_atom_site_fract_y
_atom_site_fract_z
Mn1 0.000 0.000 0.000
Re1 0.000 0.000 0.464
Re2 0.500 0.500 0.254
Cl1 0.500 0.500 0.744
# N(E_F)   1.7 states/eV/cell

=====

--- x ---
# MnRe2Cl meta-GGA SCAN single point on PBEsol structure
data_MnRe2Cl
_chemical_formula_sum 'Mn1 Re2 Cl1'
_symmetry_space_group_name_H-M 'P 1 2/m 1'
_symmetry_Int_Tables_number 10
_cell_length_a 4.522
_cell_length_b 2.787
_cell_length_c 4.800
_cell_angle_alpha 90.00
_cell_angle_beta 109.26
_cell_angle_gamma 90.00
loop_
_symmetry_equiv_pos_as_xyz
'x,y,z'
'-x,-y,-z'
'-x,y,-z'
'x,-y,z'
loop_
_atom_site_label
_atom_site_fract_x
_atom_site_fract_y
_atom_site_fract_z
Mn1 0.000 0.000 0.000
Re1 0.500 0.000 0.500
Re2 0.500 0.500 0.000
Cl1 0.000 0.500 0.500
# N(E_F)   3.4 states/eV/cell

=====

--- y ---
# MnRe2Cl meta-GGA SCAN single point on PBEsol structure
data_MnRe2Cl
_chemical_formula_sum 'Mn1 Re2 Cl1'
_symmetry_space_group_name_H-M 'P m m m'
_symmetry_Int_Tables_number 47
_cell_length_a 2.755
_cell_length_b 4.499
_cell_length_c 4.628
_cell_angle_alpha 90.00
_cell_angle_beta 90.00
_cell_angle_gamma 90.00
loop_
_symmetry_equiv_pos_as_xyz
'x,y,z'
'-x,-y,-z'
'-x,-y,z'
'x,y,-z'
'x,-y,-z'
'-x,y,z'
'-x,y,-z'
'x,-y,z'
loop_
_atom_site_label
_atom_site_fract_x
_atom_site_fract_y
_atom_site_fract_z
Mn1 0.000 0.000 0.000
Re1 0.000 0.500 0.500
Re2 0.500 0.500 0.000
Cl1 0.500 0.000 0.500
# N(E_F)   4.1 states/eV/cell

=====

--- z ---
# MnRe2Cl meta-GGA SCAN single point on PBEsol structure
data_MnRe2Cl
_chemical_formula_sum 'Mn1 Re2 Cl1'
_symmetry_space_group_name_H-M 'P 4/m m m'
_symmetry_Int_Tables_number 123
_symmetry_space_group_name_Hall '-P 4 2'
_cell_length_a 2.886
_cell_length_b 2.886
_cell_length_c 6.464
_cell_angle_alpha 90.00
_cell_angle_beta 90.00
_cell_angle_gamma 90.00
loop_
_atom_site_label
_atom_site_fract_x
_atom_site_fract_y
_atom_site_fract_z
Mn1 0.000 0.000 0.000
Re1 0.500 0.500 0.229
Cl1 0.000 0.000 0.500
# N(E_F)   3.7 states/eV/cell

=====

Result of the stability comparison: w is the most stable of them.

=====

--- w ---
# MnRhCl2 meta-GGA SCAN single point on PBEsol structure
data_MnRhCl2
_chemical_formula_sum 'Mn2 Rh2 Cl4'
_symmetry_space_group_name_H-M 'C m m m'
_symmetry_Int_Tables_number 65
_symmetry_space_group_name_Hall '-C 2 2'
_cell_length_a 3.019
_cell_length_b 5.553
_cell_length_c 7.751
_cell_angle_alpha 90.00
_cell_angle_beta 90.00
_cell_angle_gamma 90.00
loop_
_atom_site_label
_atom_site_fract_x
_atom_site_fract_y
_atom_site_fract_z
Mn1 0.000 0.000 0.000
Rh1 0.000 0.000 0.500
Cl1 0.000 0.500 0.239
# N(E_F)   3.5 states/eV/cell

=====

--- x ---
# MnRhCl2 meta-GGA SCAN single point on PBEsol structure
data_MnRhCl2
_chemical_formula_sum 'Mn1 Rh1 Cl2'
_symmetry_space_group_name_H-M 'P 4/m m m'
_symmetry_Int_Tables_number 123
_symmetry_space_group_name_Hall '-P 4 2'
_cell_length_a 4.334
_cell_length_b 4.334
_cell_length_c 3.205
_cell_angle_alpha 90.00
_cell_angle_beta 90.00
_cell_angle_gamma 90.00
loop_
_atom_site_label
_atom_site_fract_x
_atom_site_fract_y
_atom_site_fract_z
Mn1 0.000 0.000 0.000
Rh1 0.500 0.500 0.000
Cl1 0.000 0.500 0.500
# N(E_F)   1.9 states/eV/cell

=====

--- y ---
# MnRhCl2 meta-GGA SCAN single point on PBEsol structure
data_MnRhCl2
_chemical_formula_sum 'Mn1 Rh1 Cl2'
_symmetry_space_group_name_H-M 'P 4 m m'
_symmetry_Int_Tables_number 99
_cell_length_a 3.003
_cell_length_b 3.003
_cell_length_c 7.573
_cell_angle_alpha 90.00
_cell_angle_beta 90.00
_cell_angle_gamma 90.00
loop_
_symmetry_equiv_pos_as_xyz
'x,y,z'
'-y,x,z'
'-x,-y,z'
'y,-x,z'
'-x,y,z'
'y,x,z'
'x,-y,z'
'-y,-x,z'
loop_
_atom_site_label
_atom_site_fract_x
_atom_site_fract_y
_atom_site_fract_z
Mn1 0.000 0.000 0.000
Rh1 0.500 0.500 0.213
Cl1 0.000 0.000 0.411
Cl2 0.500 0.500 0.804
# N(E_F)   2.8 states/eV/cell

=====

--- z ---
# MnRhCl2 meta-GGA SCAN single point on PBEsol structure
data_MnRhCl2
_chemical_formula_sum 'Mn3 Rh3 Cl6'
_symmetry_space_group_name_H-M 'R -3 m'
_symmetry_Int_Tables_number 166
_symmetry_space_group_name_Hall '-R 3 2"'
_cell_length_a 3.1094
_cell_length_b 3.1094
_cell_length_c 23.3392
_cell_angle_alpha 90.00
_cell_angle_beta 90.00
_cell_angle_gamma 120.00
loop_
_atom_site_label
_atom_site_fract_x
_atom_site_fract_y
_atom_site_fract_z
Mn1 0.0000 0.0000 0.0000
Rh1 0.0000 0.0000 0.5000
Cl1 0.0000 0.0000 0.4029
# N(E_F)   5.8 states/eV/cell

=====

Result of the stability comparison: y is the most stable of them.

=====

--- w ---
# MnRu2Cl meta-GGA SCAN single point on PBEsol structure
data_MnRu2Cl
_chemical_formula_sum 'Mn2 Ru4 Cl2'
_symmetry_space_group_name_H-M 'I m m m'
_symmetry_Int_Tables_number 71
_symmetry_space_group_name_Hall '-I 2 2'
_cell_length_a 2.798
_cell_length_b 4.367
_cell_length_c 8.831
_cell_angle_alpha 90.00
_cell_angle_beta 90.00
_cell_angle_gamma 90.00
loop_
_atom_site_label
_atom_site_fract_x
_atom_site_fract_y
_atom_site_fract_z
Mn1 0.000 0.000 0.000
Ru1 0.000 0.500 0.224
Cl1 0.000 0.000 0.500
# N(E_F)   5.9 states/eV/cell

=====

--- x ---
# MnRu2Cl meta-GGA SCAN single point on PBEsol structure
data_MnRu2Cl
_chemical_formula_sum 'Mn1 Ru2 Cl1'
_symmetry_space_group_name_H-M 'P 4/m m m'
_symmetry_Int_Tables_number 123
_symmetry_space_group_name_Hall '-P 4 2'
_cell_length_a 2.926
_cell_length_b 2.926
_cell_length_c 6.368
_cell_angle_alpha 90.00
_cell_angle_beta 90.00
_cell_angle_gamma 90.00
loop_
_atom_site_label
_atom_site_fract_x
_atom_site_fract_y
_atom_site_fract_z
Mn1 0.000 0.000 0.000
Ru1 0.500 0.500 0.217
Cl1 0.000 0.000 0.500
# N(E_F)   2.7 states/eV/cell

=====

Result of the stability comparison: x is the most stable of them.